1.
# LaH3Pt

LaH3Pt at its PBEsol-relaxed geometry (SCAN, Alexandria via LeMat-Bulk).

- E_tot (eV/atom) = -25.371
- space-group type = Pm-3m (221)
- spin magnetization (μB per cell) = 0.00
- crystal system = cubic

Cell lengths 3.790, 3.790, 3.790 Å; angles 90.00, 90.00, 90.00 degrees
Element x y z (fractional)
1 La 0.000 0.000 0.000
2 H 0.000 0.500 0.500
3 H 0.500 0.000 0.500
4 H 0.500 0.500 0.000
5 Pt 0.500 0.500 0.500

---

2.
# CuHgRh2

CuHgRh2 at its PBEsol-relaxed geometry (SCAN, Alexandria via LeMat-Bulk).

- E_tot (eV/atom) = -37.437
- space-group type = Cmmm (65)
- ΔE_f (eV per atom) = 0.290
- spin magnetization (μB per cell) = 1.36
- crystal system = orthorhombic

Cell lengths 4.656, 4.656, 2.849 Å; angles 90.00, 90.00, 107.85 degrees
Element x y z (fractional)
1 Cu 0.000 0.000 0.000
2 Hg 0.500 0.500 0.000
3 Rh 0.000 0.500 0.500
4 Rh 0.500 0.000 0.500